No. 1
Density functional theory data (PBE) for an optimized crystal structure of NaNiMo3.

## Properties
For the density of states at the Fermi level, the calculation gives 10.92 states/eV/f.u. The value obtained for the distance to the lowest polymorph of the same formula is 0.0000 eV per atom. For the formation enthalpy at 0 K, the calculation gives 1.54 eV per atom. As for the space group: Pm-3m, No. 221.

Structure (POSCAR):
```
NaNiMo3
1.0
4.580 0.000 0.000
0.000 4.580 0.000
0.000 0.000 4.580
Na Ni Mo
1 1 3
Cartesian
0.000 0.000 0.000
2.290 2.290 2.290
0.000 2.290 2.290
2.290 0.000 2.290
2.290 2.290 0.000
```

No. 2
Density functional theory data (PBE) for an optimized crystal structure of NaNiMo2.

## Properties
For the density of states at the Fermi level, the calculation gives 3.43 states/eV/f.u. The value obtained for the distance to the lowest polymorph of the same formula is 0.0314 eV per atom. For the formation enthalpy at 0 K, the calculation gives 1.08 eV per atom. As for the space group: Fm-3m, No. 225.

Structure (POSCAR):
```
NaNiMo2
1.0
0.000 3.099 3.099
3.099 0.000 3.099
3.099 3.099 0.000
Na Ni Mo
1 1 2
Cartesian
0.000 0.000 0.000
3.099 3.099 3.099
1.549 1.549 1.549
4.648 4.648 4.648
```

No. 3
Density functional theory data (PBE) for an optimized crystal structure of Na3NiMo.

## Properties
For the density of states at the Fermi level, the calculation gives 11.49 states/eV/f.u. The value obtained for the distance to the lowest polymorph of the same formula is 0.4203 eV per atom. For the formation enthalpy at 0 K, the calculation gives 1.77 eV per atom. As for the space group: Pm-3m, No. 221.

Structure (POSCAR):
```
Na3NiMo
1.0
5.776 0.000 0.000
0.000 5.776 0.000
0.000 0.000 5.776
Na Ni Mo
3 1 1
Cartesian
0.000 0.000 2.888
0.000 2.888 0.000
2.888 0.000 0.000
2.888 2.888 2.888
0.000 0.000 0.000
```

No. 4
Density functional theory data (PBE) for an optimized crystal structure of NaNiMo3.

## Properties
For the density of states at the Fermi level, the calculation gives 4.47 states/eV/f.u. The value obtained for the distance to the lowest polymorph of the same formula is 1.2084 eV per atom. For the formation enthalpy at 0 K, the calculation gives 2.74 eV per atom. As for the space group: Pm-3m, No. 221.

Structure (POSCAR):
```
NaNiMo3
1.0
4.453 0.000 0.000
0.000 4.453 0.000
0.000 0.000 4.453
Na Ni Mo
1 1 3
Cartesian
0.000 0.000 0.000
2.226 2.226 2.226
0.000 0.000 2.226
0.000 2.226 0.000
2.226 0.000 0.000
```

No. 5
Density functional theory data (PBE) for an optimized crystal structure of NaNi2Mo.

## Properties
For the density of states at the Fermi level, the calculation gives 6.94 states/eV/f.u. The value obtained for the distance to the lowest polymorph of the same formula is 0.0000 eV per atom. For the formation enthalpy at 0 K, the calculation gives 0.62 eV per atom. As for the space group: Fm-3m, No. 225.

Structure (POSCAR):
```
NaNi2Mo
1.0
0.000 3.037 3.037
3.037 0.000 3.037
3.037 3.037 0.000
Na Ni Mo
1 2 1
Cartesian
0.000 0.000 0.000
1.519 1.519 1.519
4.556 4.556 4.556
3.037 3.037 3.037
```

No. 6
Density functional theory data (PBE) for an optimized crystal structure of NaNiMo2.

## Properties
For the density of states at the Fermi level, the calculation gives 5.69 states/eV/f.u. The value obtained for the distance to the lowest polymorph of the same formula is 0.0000 eV per atom. For the formation enthalpy at 0 K, the calculation gives 1.05 eV per atom. As for the space group: I-42d, No. 122.

Structure (POSCAR):
```
NaNiMo2
1.0
-1.836 1.836 9.950
1.836 -1.836 9.950
1.836 1.836 -9.950
Na Ni Mo
2 2 4
Cartesian
0.000 0.000 0.000
0.000 1.836 4.975
1.836 0.000 4.975
0.000 0.000 9.950
0.918 -0.829 7.463
1.007 0.918 2.488
0.918 2.665 -2.488
0.829 0.918 12.438
```

No. 7
Density functional theory data (PBE) for an optimized crystal structure of NaNi2Mo.

## Properties
For the density of states at the Fermi level, the calculation gives 5.44 states/eV/f.u. The value obtained for the distance to the lowest polymorph of the same formula is 0.3159 eV per atom. For the formation enthalpy at 0 K, the calculation gives 0.94 eV per atom. As for the space group: I-42d, No. 122.

Structure (POSCAR):
```
NaNi2Mo
1.0
-3.411 3.411 2.782
3.411 -3.411 2.782
3.411 3.411 -2.782
Na Ni Mo
2 4 2
Cartesian
0.000 0.000 0.000
0.000 3.411 1.391
1.706 -1.482 2.086
1.929 1.706 0.695
1.706 4.893 -0.695
1.482 1.706 3.477
3.411 0.000 1.391
0.000 0.000 2.782
```

No. 8
Density functional theory data (PBE) for an optimized crystal structure of Na3NiMo.

## Properties
For the density of states at the Fermi level, the calculation gives 1.79 states/eV/f.u. The value obtained for the distance to the lowest polymorph of the same formula is 0.0000 eV per atom. For the formation enthalpy at 0 K, the calculation gives 1.35 eV per atom. As for the space group: Pm-3m, No. 221.

Structure (POSCAR):
```
Na3NiMo
1.0
5.251 0.000 0.000
0.000 5.251 0.000
0.000 0.000 5.251
Na Ni Mo
3 1 1
Cartesian
0.000 0.000 2.626
0.000 2.626 0.000
2.626 0.000 0.000
0.000 0.000 0.000
2.626 2.626 2.626
```

no.,total magnetic moment (μB per formula unit)
1,0.0
2,0.0
3,5.4
4,0.0
5,0.0
6,0.0
7,1.5
8,5.1